1.
{"formula": "LaNbTc", "functional": "GGA-PBE", "state": "relaxed", "lattice_angstrom": [[0.000, 3.283, 3.283], [3.283, 0.000, 3.283], [3.283, 3.283, 0.000]], "species": ["La", "Nb", "Tc"], "fractional_positions": [[0.250, 0.250, 0.250], [0.750, 0.750, 0.750], [0.000, 0.000, 0.000]], "space_group": "F-43m, No. 216", "density_kg_m3": 7736}

***

2.
{"formula": "LaNbTc", "functional": "GGA-PBE", "state": "relaxed", "lattice_angstrom": [[0.000, 3.199, 3.199], [3.199, 0.000, 3.199], [3.199, 3.199, 0.000]], "species": ["La", "Nb", "Tc"], "fractional_positions": [[0.000, 0.000, 0.000], [0.250, 0.250, 0.250], [0.750, 0.750, 0.750]], "space_group": "F-43m, No. 216", "density_kg_m3": 8363}

***

Among the structures above, stability is greatest for 1.